# 1
BaZn2Se: PBEsol geometry, meta-GGA SCAN.

Structure (POSCAR):
```
BaZn2Se
1.0
-3.263 -3.248 -0.524
1.755 -5.034 -0.215
-1.344 -2.669 4.421
Ba Zn Se
1 2 1
Cartesian
-1.405 -5.501 1.867
-1.898 -8.506 3.071
0.331 -7.606 4.102
-0.895 -2.517 0.686
```

Computed properties:
**Final energy**: -22.246 eV per atom
**Crystal system**: orthorhombic
**Density**: 5.50 g cm⁻³
**ΔE_f (raw)**: -13.41 kcal/mol of atoms

# 2
BaZrSe3: PBEsol geometry, meta-GGA SCAN.

Structure (POSCAR):
```
BaZrSe3
1.0
4.001 0.000 0.000
0.000 8.959 0.000
0.000 0.000 14.880
Se Zr Ba
12 4 4
Cartesian
1.000 7.056 10.642
3.001 6.383 3.202
3.001 2.987 0.068
3.001 8.700 13.286
1.000 1.493 7.508
1.000 4.739 5.846
1.000 0.259 1.594
1.000 5.972 14.812
3.001 1.903 4.238
3.001 4.220 9.034
3.001 7.466 7.372
1.000 2.576 11.679
1.000 5.933 8.331
1.000 1.454 13.989
3.001 7.505 0.891
3.001 3.026 6.549
3.001 0.607 10.027
1.000 3.873 2.587
3.001 5.086 12.293
1.000 8.352 4.853
```

Computed properties:
**Final energy**: -27.985 eV per atom
**Crystal system**: orthorhombic
**Density**: 5.80 g cm⁻³
**ΔE_f (raw)**: -43.55 kcal/mol of atoms

# 3
BaZrSe: PBEsol geometry, meta-GGA SCAN.

Structure (POSCAR):
```
BaZrSe
1.0
-0.235 3.711 -3.766
-4.567 2.487 -0.983
-0.582 5.088 1.332
Se Zr Ba
1 1 1
Cartesian
0.000 0.000 0.000
-2.691 5.643 -1.708
-1.346 2.822 -0.854
```

Computed properties:
**Final energy**: -29.734 eV per atom
**Crystal system**: cubic
**Density**: 4.87 g cm⁻³
**ΔE_f (raw)**: 8.65 kcal/mol of atoms
**Excess energy over the best structure of this formula in the dataset**: 987 meV/atom

# 4
BaZrSe: PBEsol geometry, meta-GGA SCAN.

Structure (POSCAR):
```
BaZrSe
1.0
-4.232 -2.172 -0.538
-0.178 -4.629 -1.206
-1.444 -3.254 3.200
Se Ba Zr
1 1 1
Cartesian
-2.927 -5.027 0.728
0.000 0.000 0.000
-1.463 -2.514 0.364
```

Computed properties:
**Final energy**: -29.953 eV per atom
**Crystal system**: cubic
**Density**: 6.58 g cm⁻³
**ΔE_f (raw)**: 3.61 kcal/mol of atoms
**Excess energy over the best structure of this formula in the dataset**: 768 meV/atom

Question: The lowest final energy belongs to which entry?
Answer: number 4